PaTiZnO6 (GGA-PBE, relaxed); formation energy from raw total energies = -2.4806 eV/atom; Fermi-level density of states = 11.3 states/eV per cell; SG = No. 163; E_tot = -7.86 eV/atom
1.0
5.4778 0.0000 0.0000
-2.7389 4.7439 0.0000
0.0000 0.0000 8.6684
Pa Ti Zn O
2 2 2 12
direct
0.3333 0.6667 0.2500
0.6667 0.3333 0.7500
0.3333 0.6667 0.7500
0.6667 0.3333 0.2500
0.0000 0.0000 0.0000
0.0000 0.0000 0.5000
0.0281 0.3571 0.6309
0.0281 0.6710 0.8691
0.3290 0.3571 0.8691
0.3290 0.9719 0.6309
0.3571 0.0281 0.1309
0.3571 0.3290 0.3691
0.6429 0.6710 0.6309
0.6429 0.9719 0.8691
0.6710 0.0281 0.3691
0.6710 0.6429 0.1309
0.9719 0.3290 0.1309
0.9719 0.6429 0.3691